The following is a DFT calculation (PBE) of an optimized crystal structure of Cs2UAgSe4.

Calculated values
As for the uncorrected energy: -4.547 eV per atom. The value obtained for the formation energy without anion corrections is -0.824 eV per atom.

```
Cs2UAgSe4
1.0
7.459 0.112 0.171
-3.077 6.796 -0.171
-3.077 -2.892 6.152
Cs U Ag Se
2 1 1 4
Direct
0.500 0.750 0.250
0.000 0.000 0.000
0.500 0.250 0.750
0.000 0.500 0.500
0.589 0.358 0.465
0.107 0.231 0.642
0.893 0.535 0.124
0.411 0.876 0.769
```